The following is a DFT calculation (PBE) of Li8Mg3Ga2 after structural relaxation.

Values from the calculation:
**ΔE to the lowest computed polymorph**: 0.68 eV/f.u.
**Symmetry**: C2/m (12)
**Raw total energy**: -2.0709 eV/atom
**Magnetic moment**: 0.00 μB per formula unit
**Calculated volume**: 20.25 Å³ per atom
**ΔH_f (0 K)**: -0.06 eV/atom

a b c (Å): 5.613 8.351 7.065
angles (deg): 126.23 97.88 90.00
Element x y z (fractional)
Li: 0.818 0.571 0.142
Li: 0.182 0.429 0.858
Li: 0.819 0.232 0.463
Li: 0.181 0.768 0.537
Li: 0.532 0.563 0.734
Li: 0.532 0.171 0.734
Li: 0.468 0.829 0.266
Li: 0.468 0.437 0.266
Mg: 0.500 0.000 0.000
Mg: 0.000 0.180 0.000
Mg: 0.000 0.820 0.000
Ga: 0.286 0.197 0.394
Ga: 0.714 0.803 0.606